No. 1
PuPbAu2: optimized geometry, PBE-GGA.

## Properties
N(E_F), states/eV/f.u.: 14.95
Energy of formation from the pure elements, eV/f.u.: -0.6
E_tot, eV/atom: -6.291

a b c (Å): 4.339 4.339 7.138
angles (deg): 72.31 72.31 60.00
Last column: magnetic moment on the atom in μB.
Fractional coordinates of all 4 atoms:
1 Pu 0.669 0.669 0.993  5.30
2 Pb 0.496 0.496 0.513  0.03
3 Au 0.086 0.086 0.743  0.01
4 Au 0.250 0.250 0.251  0.00

No. 2
PuPbAu2: optimized geometry, PBE-GGA.

## Properties
N(E_F), states/eV/f.u.: 14.78
Energy of formation from the pure elements, eV/f.u.: -0.9
E_tot, eV/atom: -6.383

a b c (Å): 4.005 4.899 4.899
angles (deg): 90.00 90.00 90.00
Last column: magnetic moment on the atom in μB.
Fractional coordinates of all 4 atoms:
1 Pb 0.500 0.000 0.000  0.01
2 Au 0.000 0.000 0.500  0.04
3 Au 0.000 0.500 0.000  0.04
4 Pu 0.500 0.500 0.500  5.40

No. 3
Pu2PbAu: optimized geometry, PBE-GGA.

## Properties
N(E_F), states/eV/f.u.: 15.39
Energy of formation from the pure elements, eV/f.u.: -0.9
E_tot, eV/atom: -9.139

a b c (Å): 4.023 4.023 6.347
angles (deg): 90.00 90.00 90.00
Last column: magnetic moment on the atom in μB.
Fractional coordinates of all 4 atoms:
1 Pb 0.500 0.500 0.500  -0.04
2 Au 0.500 0.500 0.000  0.03
3 Pu 0.000 0.000 0.761  5.53
4 Pu 0.000 0.000 0.239  5.53

No. 4
PuPbAu2: optimized geometry, PBE-GGA.

## Properties
N(E_F), states/eV/f.u.: 16.34
Energy of formation from the pure elements, eV/f.u.: -1.3
E_tot, eV/atom: -6.473

a b c (Å): 5.106 5.106 5.106
angles (deg): 60.00 60.00 60.00
Last column: magnetic moment on the atom in μB.
Fractional coordinates of all 4 atoms:
1 Pb 0.750 0.750 0.750  0.01
2 Au 0.500 0.500 0.500  0.00
3 Au 0.000 0.000 0.000  0.00
4 Pu 0.250 0.250 0.250  5.29

No. 5
PuPbAu2: optimized geometry, PBE-GGA.

## Properties
N(E_F), states/eV/f.u.: 11.04
Energy of formation from the pure elements, eV/f.u.: -1.1
E_tot, eV/atom: -6.413

a b c (Å): 3.515 3.515 7.783
angles (deg): 90.00 90.00 90.00
Last column: magnetic moment on the atom in μB.
Fractional coordinates of all 4 atoms:
1 Pb 0.500 0.500 0.500  0.01
2 Au 0.000 0.000 0.758  -0.01
3 Au 0.000 0.000 0.242  -0.01
4 Pu 0.500 0.500 0.000  5.28

No. 6
Pu2PbAu: optimized geometry, PBE-GGA.

## Properties
N(E_F), states/eV/f.u.: 12.30
Energy of formation from the pure elements, eV/f.u.: -1.0
E_tot, eV/atom: -9.173

a b c (Å): 4.693 4.592 4.592
angles (deg): 90.00 90.00 90.00
Last column: magnetic moment on the atom in μB.
Fractional coordinates of all 4 atoms:
1 Pb 0.500 0.500 0.500  -0.08
2 Au 0.500 0.000 0.000  0.02
3 Pu 0.000 0.000 0.500  5.52
4 Pu 0.000 0.500 0.000  5.52

No. 7
Pu4PbAu5: optimized geometry, PBE-GGA.

## Properties
N(E_F), states/eV/f.u.: 39.87
Energy of formation from the pure elements, eV/f.u.: -3.4
E_tot, eV/atom: -8.085

a b c (Å): 3.589 3.589 18.756
angles (deg): 90.00 90.00 90.00
Last column: magnetic moment on the atom in μB.
Fractional coordinates of all 10 atoms:
1 Pu 0.000 0.000 0.199  -5.37
2 Pu 0.000 0.000 0.400  -5.46
3 Pu 0.000 0.000 0.600  -5.46
4 Pu 0.000 0.000 0.801  -5.37
5 Pb 0.000 0.000 0.000  -0.01
6 Au 0.500 0.500 0.105  -0.01
7 Au 0.500 0.500 0.301  -0.05
8 Au 0.500 0.500 0.500  -0.05
9 Au 0.500 0.500 0.699  -0.05
10 Au 0.500 0.500 0.895  -0.01

No. 8
PuPbAu10: optimized geometry, PBE-GGA.

## Properties
N(E_F), states/eV/f.u.: 21.34
Energy of formation from the pure elements, eV/f.u.: -1.4
E_tot, eV/atom: -4.352

a b c (Å): 4.665 5.663 9.738
angles (deg): 90.00 90.00 90.00
Last column: magnetic moment on the atom in μB.
Fractional coordinates of all 12 atoms:
1 Pu 0.000 0.000 0.000  5.47
2 Pb 0.000 0.500 0.500  0.01
3 Au 0.000 0.000 0.333  0.01
4 Au 0.000 0.500 0.834  0.01
5 Au 0.000 0.500 0.166  0.01
6 Au 0.000 0.000 0.667  0.01
7 Au 0.500 0.000 0.500  0.01
8 Au 0.500 0.500 0.000  0.01
9 Au 0.500 0.246 0.244  0.01
10 Au 0.500 0.754 0.756  0.01
11 Au 0.500 0.754 0.244  0.01
12 Au 0.500 0.246 0.756  0.01

No. 9
Pu5Pb3Au: optimized geometry, PBE-GGA.

## Properties
N(E_F), states/eV/f.u.: 46.01
Energy of formation from the pure elements, eV/f.u.: -1.3
E_tot, eV/atom: -9.702

a b c (Å): 6.331 9.562 9.562
angles (deg): 120.00 90.00 90.00
Last column: magnetic moment on the atom in μB.
Fractional coordinates of all 18 atoms:
1 Pu 0.000 0.333 0.667  5.55
2 Pu 0.500 0.667 0.333  5.55
3 Pu 0.000 0.667 0.333  5.55
4 Pu 0.500 0.333 0.667  5.55
5 Pu 0.750 0.723 0.000  5.36
6 Pu 0.750 0.277 0.277  5.36
7 Pu 0.750 0.000 0.723  5.36
8 Pu 0.250 0.277 0.000  5.36
9 Pu 0.250 0.723 0.723  5.36
10 Pu 0.250 0.000 0.277  5.36
11 Pb 0.750 0.382 0.000  -0.11
12 Pb 0.750 0.618 0.618  -0.11
13 Pb 0.750 0.000 0.382  -0.11
14 Pb 0.250 0.618 0.000  -0.11
15 Pb 0.250 0.382 0.382  -0.11
16 Pb 0.250 0.000 0.618  -0.11
17 Au 0.000 0.000 0.000  0.01
18 Au 0.500 0.000 0.000  0.01

No. 10
PuPbAu: optimized geometry, PBE-GGA.

## Properties
N(E_F), states/eV/f.u.: 10.13
Energy of formation from the pure elements, eV/f.u.: -0.6
E_tot, eV/atom: -7.305

a b c (Å): 3.626 3.626 6.381
angles (deg): 106.51 106.51 90.00
Last column: magnetic moment on the atom in μB.
Fractional coordinates of all 3 atoms:
1 Pb 0.963 0.963 0.926  0.02
2 Au 0.621 0.621 0.241  0.00
3 Pu 0.267 0.267 0.533  5.39

No. 11
PuRhPbAu: optimized geometry, PBE-GGA.

## Properties
N(E_F), states/eV/f.u.: 11.49
Energy of formation from the pure elements, eV/f.u.: -0.8
E_tot, eV/atom: -7.362

a b c (Å): 4.957 4.957 4.957
angles (deg): 60.00 60.00 60.00
Last column: magnetic moment on the atom in μB.
Fractional coordinates of all 4 atoms:
1 Pb 0.250 0.250 0.250  -0.01
2 Rh 0.500 0.500 0.500  -0.30
3 Au 0.000 0.000 0.000  -0.01
4 Pu 0.750 0.750 0.750  5.11

No. 12
PuScPbAu: optimized geometry, PBE-GGA.

## Properties
N(E_F), states/eV/f.u.: 10.71
Energy of formation from the pure elements, eV/f.u.: -1.4
E_tot, eV/atom: -7.266

a b c (Å): 5.170 5.170 5.170
angles (deg): 60.00 60.00 60.00
Last column: magnetic moment on the atom in μB.
Fractional coordinates of all 4 atoms:
1 Pb 0.250 0.250 0.250  -0.04
2 Sc 0.500 0.500 0.500  0.32
3 Au 0.750 0.750 0.750  0.04
4 Pu 0.000 0.000 0.000  5.40